Entry from the Alexandria database: crystalline Ba2FeF6 at its relaxed geometry (PBE with a Hubbard U).

The calculation puts the electronic total energy at -5.55 eV per atom. The calculation puts the density of states at the Fermi level at 0.379 states/eV/atom. As for the total moment: 4.00 μB per formula unit.

The structure belongs to space group I4/mmm (No. 139); the cell edges are 4.155, 4.155 and 16.914 Å and the angles 90.00°, 90.00° and 90.00°. The distinct sites, in fractional coordinates, are Ba at (0.000, 0.000, 0.154), Fe at (0.000, 0.000, 0.500), F at (0.000, 0.000, 0.378), F at (0.000, 0.500, 0.000) and F at (0.000, 0.500, 0.250).